[1]
Here is a geometry-optimized PuMgZn10 structure from Alexandria. Energies are from PBE.

Values from the calculation:
SG   Pmmm
Crystal system   orthorhombic
Fermi-level density of states   1.139 states/eV per atom
Total magnetization   5.56 μB/cell
Energy relative to the elements   -0.068 eV per atom

abc: 4.303 5.182 9.258
angles: 90.00 90.00 90.00
Element x y z (fractional)
Pu 0.000 0.000 0.000
Mg 0.000 0.500 0.500
Zn 0.000 0.000 0.345
Zn 0.000 0.000 0.655
Zn 0.000 0.500 0.186
Zn 0.000 0.500 0.814
Zn 0.500 0.000 0.500
Zn 0.500 0.242 0.240
Zn 0.500 0.242 0.760
Zn 0.500 0.500 0.000
Zn 0.500 0.758 0.240
Zn 0.500 0.758 0.760

[2]
Here is a geometry-optimized Cd3Ga3Hg structure from Alexandria. Energies are from PBE.

Values from the calculation:
SG   Pm-3n
Crystal system   cubic
Fermi-level density of states   0.638 states/eV per atom
Total magnetization   0.00 μB/cell
ΔE to the lowest computed polymorph   272 meV/atom
Energy relative to the elements   0.384 eV per atom

abc: 7.697 7.697 7.697
angles: 90.00 90.00 90.00
Element x y z (fractional)
Cd 0.000 0.250 0.500
Cd 0.000 0.750 0.500
Cd 0.250 0.500 0.000
Cd 0.500 0.000 0.250
Cd 0.500 0.000 0.750
Cd 0.750 0.500 0.000
Ga 0.000 0.500 0.250
Ga 0.000 0.500 0.750
Ga 0.250 0.000 0.500
Ga 0.500 0.250 0.000
Ga 0.500 0.750 0.000
Ga 0.750 0.000 0.500
Hg 0.000 0.000 0.000
Hg 0.500 0.500 0.500

[3]
Here is a geometry-optimized AsCS2Cl structure from Alexandria. Energies are from PBE.

Values from the calculation:
SG   P4/mmm
Crystal system   tetragonal
Fermi-level density of states   0.443 states/eV per atom
Total magnetization   0.00 μB/cell
Formation energy from raw total energies   1211.7 meV/atom
ΔE to the lowest computed polymorph   0 meV/atom

abc: 4.190 4.190 4.315
angles: 90.00 90.00 90.00
Element x y z (fractional)
As 0.000 0.000 0.000
C 0.500 0.500 0.500
S 0.000 0.500 0.500
S 0.500 0.000 0.500
Cl 0.500 0.500 0.000

[4]
Here is a geometry-optimized TcTe2SN structure from Alexandria. Energies are from PBE.

Values from the calculation:
SG   P4/mmm
Crystal system   tetragonal
Fermi-level density of states   0.775 states/eV per atom
Total magnetization   0.00 μB/cell
Formation energy from raw total energies   452.8 meV/atom
ΔE to the lowest computed polymorph   0 meV/atom

abc: 5.322 5.322 3.713
angles: 90.00 90.00 90.00
Element x y z (fractional)
Tc 0.000 0.000 0.000
Te 0.000 0.500 0.000
Te 0.500 0.000 0.000
S 0.500 0.500 0.500
N 0.000 0.000 0.500

[5]
Here is a geometry-optimized Pm2Sm2Sc7 structure from Alexandria. Energies are from PBE.

Values from the calculation:
SG   C2/m
Crystal system   monoclinic
Fermi-level density of states   1.697 states/eV per atom
Total magnetization   0.00 μB/cell
Energy relative to the elements   0.152 eV per atom

abc: 7.693 7.693 5.785
angles: 106.56 106.56 90.91
Element x y z (fractional)
Pm 0.106 0.106 0.318
Pm 0.894 0.894 0.682
Sm 0.296 0.704 0.000
Sm 0.704 0.296 0.000
Sc 0.091 0.565 0.323
Sc 0.267 0.267 0.929
Sc 0.435 0.909 0.677
Sc 0.500 0.500 0.500
Sc 0.565 0.091 0.323
Sc 0.733 0.733 0.071
Sc 0.909 0.435 0.677

[6]
Here is a geometry-optimized LiFeTc2Rh structure from Alexandria. Energies are from PBE.

Values from the calculation:
SG   P4/mmm
Crystal system   tetragonal
Fermi-level density of states   2.443 states/eV per atom
Total magnetization   0.02 μB/cell
Energy relative to the elements   1.710 eV per atom

abc: 4.678 4.678 4.481
angles: 90.00 90.00 90.00
Element x y z (fractional)
Li 0.000 0.000 0.000
Fe 0.500 0.500 0.000
Tc 0.000 0.500 0.500
Tc 0.500 0.000 0.500
Rh 0.500 0.500 0.500